Below is crystalline La8Al2Os at its relaxed geometry, with properties calculated at the GGA-PBE level.

```
La8Al2Os
1.0
9.274 -2.725 0.000
9.274 2.725 0.000
-2.401 0.000 6.621
La Al Os
8 2 1
Direct
0.008 0.008 0.283
0.210 0.210 0.762
0.349 0.349 0.569
0.405 0.405 0.087
0.595 0.595 0.913
0.651 0.651 0.431
0.790 0.790 0.238
0.992 0.992 0.717
0.178 0.178 0.194
0.822 0.822 0.806
0.500 0.500 0.500
```

Energy of formation ... -1.950 eV per formula unit
Crystal system ... monoclinic
SG ... C2/m
M_tot ... 0.00 μB/f.u.
Density of states at the Fermi level ... 10.6 states/eV per cell
Total energy ... -5.462 eV/atom